# LiNp2Tl2S6, optimized geometry, DFT PBE
data_LiNp2Tl2S6
_symmetry_space_group_name_H-M 'C 1 2/m 1'
_symmetry_Int_Tables_number 12
_cell_length_a 6.780
_cell_length_b 11.923
_cell_length_c 7.766
_cell_angle_alpha 90.00
_cell_angle_beta 105.54
_cell_angle_gamma 90.00
loop_
_symmetry_equiv_pos_as_xyz
'x,y,z'
'-x,-y,-z'
'-x,y,-z'
'x,-y,z'
'x+1/2,y+1/2,z'
'-x+1/2,-y+1/2,-z'
'-x+1/2,y+1/2,-z'
'x+1/2,-y+1/2,z'
loop_
_atom_site_label
_atom_site_type_symbol
_atom_site_fract_x
_atom_site_fract_y
_atom_site_fract_z
Li1 Li 0.000 0.000 0.000
Np1 Np 0.000 0.335 0.000
Tl1 Tl 0.000 0.158 0.500
S1 S 0.216 0.500 0.184
S2 S 0.235 0.179 0.194
# Formation energy (no corrections)   -1.0200 eV/atom
# Energy   -6.23 eV/atom
# N(E_F)   1.459 states/eV per atom

=====

# LiNp2TlS4, optimized geometry, DFT PBE
data_LiNp2TlS4
_symmetry_space_group_name_H-M 'C m c m'
_symmetry_Int_Tables_number 63
_symmetry_space_group_name_Hall '-C 2c 2'
_cell_length_a 4.047
_cell_length_b 13.428
_cell_length_c 14.043
_cell_angle_alpha 90.00
_cell_angle_beta 90.00
_cell_angle_gamma 90.00
loop_
_atom_site_label
_atom_site_type_symbol
_atom_site_fract_x
_atom_site_fract_y
_atom_site_fract_z
Li1 Li 0.000 0.173 0.250
Np1 Np 0.000 0.369 0.559
Tl1 Tl 0.000 0.101 0.750
S1 S 0.000 0.000 0.000
S2 S 0.000 0.260 0.104
S3 S 0.000 0.420 0.750
# Formation energy (no corrections)   -1.1896 eV/atom
# Energy   -7.02 eV/atom
# N(E_F)   2.434 states/eV per atom

=====

# Li3TmNp2S6, optimized geometry, DFT PBE
data_Li3TmNp2S6
_symmetry_space_group_name_H-M 'C 1 2/m 1'
_symmetry_Int_Tables_number 12
_cell_length_a 6.769
_cell_length_b 11.725
_cell_length_c 6.551
_cell_angle_alpha 90.00
_cell_angle_beta 110.15
_cell_angle_gamma 90.00
loop_
_symmetry_equiv_pos_as_xyz
'x,y,z'
'-x,-y,-z'
'-x,y,-z'
'x,-y,z'
'x+1/2,y+1/2,z'
'-x+1/2,-y+1/2,-z'
'-x+1/2,y+1/2,-z'
'x+1/2,-y+1/2,z'
loop_
_atom_site_label
_atom_site_type_symbol
_atom_site_fract_x
_atom_site_fract_y
_atom_site_fract_z
Li1 Li 0.000 0.000 0.000
Li2 Li 0.000 0.336 0.000
Tm1 Tm 0.000 0.500 0.500
Np1 Np 0.000 0.167 0.500
S1 S 0.246 0.500 0.249
S2 S 0.249 0.335 0.752
# Formation energy (no corrections)   -1.5118 eV/atom
# Energy   -6.58 eV/atom
# N(E_F)   1.699 states/eV per atom

=====

# LiTmNp2S4, optimized geometry, DFT PBE
data_LiTmNp2S4
_symmetry_space_group_name_H-M 'P 1 2/m 1'
_symmetry_Int_Tables_number 10
_cell_length_a 6.694
_cell_length_b 3.881
_cell_length_c 6.699
_cell_angle_alpha 90.00
_cell_angle_beta 109.62
_cell_angle_gamma 90.00
loop_
_symmetry_equiv_pos_as_xyz
'x,y,z'
'-x,-y,-z'
'-x,y,-z'
'x,-y,z'
loop_
_atom_site_label
_atom_site_type_symbol
_atom_site_fract_x
_atom_site_fract_y
_atom_site_fract_z
Li1 Li 0.000 0.000 0.000
Tm1 Tm 0.500 0.500 0.000
Np1 Np 0.000 0.500 0.500
Np2 Np 0.500 0.000 0.500
S1 S 0.245 0.500 0.240
S2 S 0.250 0.000 0.759
# Formation energy (no corrections)   -1.5342 eV/atom
# Energy   -7.63 eV/atom
# N(E_F)   2.257 states/eV per atom

=====

# LiTmNp2S6, optimized geometry, DFT PBE
data_LiTmNp2S6
_symmetry_space_group_name_H-M 'P 4 m m'
_symmetry_Int_Tables_number 99
_cell_length_a 6.135
_cell_length_b 6.135
_cell_length_c 6.579
_cell_angle_alpha 90.00
_cell_angle_beta 90.00
_cell_angle_gamma 90.00
loop_
_symmetry_equiv_pos_as_xyz
'x,y,z'
'-y,x,z'
'-x,-y,z'
'y,-x,z'
'-x,y,z'
'y,x,z'
'x,-y,z'
'-y,-x,z'
loop_
_atom_site_label
_atom_site_type_symbol
_atom_site_fract_x
_atom_site_fract_y
_atom_site_fract_z
Li1 Li 0.000 0.000 0.000
Tm1 Tm 0.500 0.500 0.031
Np1 Np 0.000 0.500 0.456
S1 S 0.000 0.000 0.637
S2 S 0.241 0.241 0.216
S3 S 0.500 0.500 0.634
# Formation energy (no corrections)   -1.1101 eV/atom
# Energy   -6.81 eV/atom
# N(E_F)   1.467 states/eV per atom

=====

# LiTm3Np4S8, optimized geometry, DFT PBE
data_LiTm3Np4S8
_symmetry_space_group_name_H-M 'R -3 m'
_symmetry_Int_Tables_number 166
_symmetry_space_group_name_Hall '-R 3 2"'
_cell_length_a 7.7435
_cell_length_b 7.7435
_cell_length_c 19.0465
_cell_angle_alpha 90.00
_cell_angle_beta 90.00
_cell_angle_gamma 120.00
loop_
_atom_site_label
_atom_site_type_symbol
_atom_site_fract_x
_atom_site_fract_y
_atom_site_fract_z
Li1 Li 0.0000 0.0000 0.0000
Tm1 Tm 0.0000 0.5000 0.0000
Np1 Np 0.0000 0.0000 0.5000
Np2 Np 0.0000 0.5000 0.5000
S1 S 0.0000 0.0000 0.2521
S2 S 0.0034 0.5017 0.7466
# Formation energy (no corrections)   -1.6068 eV/atom
# Energy   -7.86 eV/atom
# N(E_F)   2.134 states/eV per atom

=====

# Li3Tm2NpS6, optimized geometry, DFT PBE
data_Li3Tm2NpS6
_symmetry_space_group_name_H-M 'C 1 2/m 1'
_symmetry_Int_Tables_number 12
_cell_length_a 6.750
_cell_length_b 11.692
_cell_length_c 6.557
_cell_angle_alpha 90.00
_cell_angle_beta 110.03
_cell_angle_gamma 90.00
loop_
_symmetry_equiv_pos_as_xyz
'x,y,z'
'-x,-y,-z'
'-x,y,-z'
'x,-y,z'
'x+1/2,y+1/2,z'
'-x+1/2,-y+1/2,-z'
'-x+1/2,y+1/2,-z'
'x+1/2,-y+1/2,z'
loop_
_atom_site_label
_atom_site_type_symbol
_atom_site_fract_x
_atom_site_fract_y
_atom_site_fract_z
Li1 Li 0.000 0.000 0.000
Li2 Li 0.000 0.331 0.000
Tm1 Tm 0.000 0.166 0.500
Np1 Np 0.000 0.500 0.500
S1 S 0.244 0.000 0.750
S2 S 0.247 0.170 0.250
# Formation energy (no corrections)   -1.6717 eV/atom
# Energy   -6.04 eV/atom
# N(E_F)   0.591 states/eV per atom

=====

# LiTmNpS3, optimized geometry, DFT PBE
data_LiTmNpS3
_symmetry_space_group_name_H-M 'P 1 21/m 1'
_symmetry_Int_Tables_number 11
_cell_length_a 8.004
_cell_length_b 3.786
_cell_length_c 8.340
_cell_angle_alpha 90.00
_cell_angle_beta 103.11
_cell_angle_gamma 90.00
loop_
_symmetry_equiv_pos_as_xyz
'x,y,z'
'-x,-y,-z'
'-x,y+1/2,-z'
'x,-y+1/2,z'
loop_
_atom_site_label
_atom_site_type_symbol
_atom_site_fract_x
_atom_site_fract_y
_atom_site_fract_z
Li1 Li 0.087 0.250 0.079
Tm1 Tm 0.336 0.750 0.332
Np1 Np 0.176 0.250 0.712
S1 S 0.102 0.250 0.363
S2 S 0.220 0.750 0.994
S3 S 0.426 0.750 0.667
# Formation energy (no corrections)   -1.5437 eV/atom
# Energy   -6.83 eV/atom
# N(E_F)   1.524 states/eV per atom

=====

# LiNpU2S6, optimized geometry, DFT PBE
data_LiNpU2S6
_symmetry_space_group_name_H-M 'R 3'
_symmetry_Int_Tables_number 146
_symmetry_space_group_name_Hall 'R 3'
_cell_length_a 6.8675
_cell_length_b 6.8675
_cell_length_c 18.2079
_cell_angle_alpha 90.00
_cell_angle_beta 90.00
_cell_angle_gamma 120.00
loop_
_atom_site_label
_atom_site_type_symbol
_atom_site_fract_x
_atom_site_fract_y
_atom_site_fract_z
Li1 Li 0.0000 0.0000 0.0000
Np1 Np 0.0000 0.0000 0.4975
U1 U 0.0000 0.0000 0.3002
U2 U 0.0000 0.0000 0.8024
S1 S 0.0062 0.7010 0.8964
S2 S 0.0134 0.3068 0.3969
# Formation energy (no corrections)   -1.3184 eV/atom
# Energy   -7.54 eV/atom
# N(E_F)   2.036 states/eV per atom

=====

# Li3Np3US8, optimized geometry, DFT PBE
data_Li3Np3US8
_symmetry_space_group_name_H-M 'R -3 m'
_symmetry_Int_Tables_number 166
_symmetry_space_group_name_Hall '-R 3 2"'
_cell_length_a 7.9100
_cell_length_b 7.9100
_cell_length_c 18.3278
_cell_angle_alpha 90.00
_cell_angle_beta 90.00
_cell_angle_gamma 120.00
loop_
_atom_site_label
_atom_site_type_symbol
_atom_site_fract_x
_atom_site_fract_y
_atom_site_fract_z
Li1 Li 0.0000 0.5000 0.0000
Np1 Np 0.0000 0.5000 0.5000
U1 U 0.0000 0.0000 0.5000
S1 S 0.0000 0.0000 0.2501
S2 S 0.0070 0.5035 0.2481
# Formation energy (no corrections)   -1.3696 eV/atom
# Energy   -7.29 eV/atom
# N(E_F)   2.049 states/eV per atom

=====

# Li2NpU3S6, optimized geometry, DFT PBE
data_Li2NpU3S6
_symmetry_space_group_name_H-M 'C 1 2/m 1'
_symmetry_Int_Tables_number 12
_cell_length_a 16.881
_cell_length_b 3.793
_cell_length_c 7.785
_cell_angle_alpha 90.00
_cell_angle_beta 104.93
_cell_angle_gamma 90.00
loop_
_symmetry_equiv_pos_as_xyz
'x,y,z'
'-x,-y,-z'
'-x,y,-z'
'x,-y,z'
'x+1/2,y+1/2,z'
'-x+1/2,-y+1/2,-z'
'-x+1/2,y+1/2,-z'
'x+1/2,-y+1/2,z'
loop_
_atom_site_label
_atom_site_type_symbol
_atom_site_fract_x
_atom_site_fract_y
_atom_site_fract_z
Li1 Li 0.171 0.000 0.342
Np1 Np 0.000 0.500 0.000
U1 U 0.000 0.500 0.500
U2 U 0.165 0.000 0.831
S1 S 0.006 0.000 0.253
S2 S 0.169 0.500 0.093
S3 S 0.169 0.500 0.579
# Formation energy (no corrections)   -1.3540 eV/atom
# Energy   -7.64 eV/atom
# N(E_F)   1.360 states/eV per atom

=====

# LiNp2US6, optimized geometry, DFT PBE
data_LiNp2US6
_symmetry_space_group_name_H-M 'P 4 m m'
_symmetry_Int_Tables_number 99
_cell_length_a 6.206
_cell_length_b 6.206
_cell_length_c 6.476
_cell_angle_alpha 90.00
_cell_angle_beta 90.00
_cell_angle_gamma 90.00
loop_
_symmetry_equiv_pos_as_xyz
'x,y,z'
'-y,x,z'
'-x,-y,z'
'y,-x,z'
'-x,y,z'
'y,x,z'
'x,-y,z'
'-y,-x,z'
loop_
_atom_site_label
_atom_site_type_symbol
_atom_site_fract_x
_atom_site_fract_y
_atom_site_fract_z
Li1 Li 0.000 0.000 0.000
Np1 Np 0.000 0.500 0.466
U1 U 0.500 0.500 0.049
S1 S 0.000 0.000 0.636
S2 S 0.240 0.240 0.215
S3 S 0.500 0.500 0.637
# Formation energy (no corrections)   -1.0134 eV/atom
# Energy   -7.40 eV/atom
# N(E_F)   2.421 states/eV per atom

=====

# LiNp2US4, optimized geometry, DFT PBE
data_LiNp2US4
_symmetry_space_group_name_H-M 'P 1 2/m 1'
_symmetry_Int_Tables_number 10
_cell_length_a 6.681
_cell_length_b 3.844
_cell_length_c 6.729
_cell_angle_alpha 90.00
_cell_angle_beta 109.54
_cell_angle_gamma 90.00
loop_
_symmetry_equiv_pos_as_xyz
'x,y,z'
'-x,-y,-z'
'-x,y,-z'
'x,-y,z'
loop_
_atom_site_label
_atom_site_type_symbol
_atom_site_fract_x
_atom_site_fract_y
_atom_site_fract_z
Li1 Li 0.000 0.000 0.000
Np1 Np 0.500 0.000 0.500
Np2 Np 0.500 0.500 0.000
U1 U 0.000 0.500 0.500
S1 S 0.239 0.500 0.243
S2 S 0.243 0.000 0.756
# Formation energy (no corrections)   -1.3198 eV/atom
# Energy   -8.27 eV/atom
# N(E_F)   2.854 states/eV per atom

=====

# LiNpU2S4, optimized geometry, DFT PBE
data_LiNpU2S4
_symmetry_space_group_name_H-M 'P 1 2/m 1'
_symmetry_Int_Tables_number 10
_cell_length_a 6.595
_cell_length_b 3.813
_cell_length_c 6.849
_cell_angle_alpha 90.00
_cell_angle_beta 108.72
_cell_angle_gamma 90.00
loop_
_symmetry_equiv_pos_as_xyz
'x,y,z'
'-x,-y,-z'
'-x,y,-z'
'x,-y,z'
loop_
_atom_site_label
_atom_site_type_symbol
_atom_site_fract_x
_atom_site_fract_y
_atom_site_fract_z
Li1 Li 0.000 0.000 0.000
Np1 Np 0.500 0.500 0.000
U1 U 0.000 0.500 0.500
U2 U 0.500 0.000 0.500
S1 S 0.241 0.500 0.242
S2 S 0.246 0.000 0.756
# Formation energy (no corrections)   -1.3565 eV/atom
# Energy   -8.10 eV/atom
# N(E_F)   1.970 states/eV per atom

=====

# Li2Np2US6, optimized geometry, DFT PBE
data_Li2Np2US6
_symmetry_space_group_name_H-M 'C 1 2/m 1'
_symmetry_Int_Tables_number 12
_cell_length_a 6.869
_cell_length_b 11.866
_cell_length_c 6.510
_cell_angle_alpha 90.00
_cell_angle_beta 110.32
_cell_angle_gamma 90.00
loop_
_symmetry_equiv_pos_as_xyz
'x,y,z'
'-x,-y,-z'
'-x,y,-z'
'x,-y,z'
'x+1/2,y+1/2,z'
'-x+1/2,-y+1/2,-z'
'-x+1/2,y+1/2,-z'
'x+1/2,-y+1/2,z'
loop_
_atom_site_label
_atom_site_type_symbol
_atom_site_fract_x
_atom_site_fract_y
_atom_site_fract_z
Li1 Li 0.000 0.168 0.000
Np1 Np 0.000 0.336 0.500
U1 U 0.000 0.000 0.500
S1 S 0.241 0.000 0.253
S2 S 0.241 0.168 0.742
# Formation energy (no corrections)   -1.3660 eV/atom
# Energy   -7.34 eV/atom
# N(E_F)   2.020 states/eV per atom

=====

# Li3NpU3S8, optimized geometry, DFT PBE
data_Li3NpU3S8
_symmetry_space_group_name_H-M 'R -3 m'
_symmetry_Int_Tables_number 166
_symmetry_space_group_name_Hall '-R 3 2"'
_cell_length_a 7.8162
_cell_length_b 7.8162
_cell_length_c 18.5666
_cell_angle_alpha 90.00
_cell_angle_beta 90.00
_cell_angle_gamma 120.00
loop_
_atom_site_label
_atom_site_type_symbol
_atom_site_fract_x
_atom_site_fract_y
_atom_site_fract_z
Li1 Li 0.0000 0.5000 0.0000
Np1 Np 0.0000 0.0000 0.5000
U1 U 0.0000 0.5000 0.5000
S1 S 0.0000 0.0000 0.2524
S2 S 0.0004 0.5002 0.2492
# Formation energy (no corrections)   -1.3651 eV/atom
# Energy   -7.07 eV/atom
# N(E_F)   1.347 states/eV per atom

=====

# Li4Np3US8, optimized geometry, DFT PBE
data_Li4Np3US8
_symmetry_space_group_name_H-M 'R -3 m'
_symmetry_Int_Tables_number 166
_symmetry_space_group_name_Hall '-R 3 2"'
_cell_length_a 7.8215
_cell_length_b 7.8215
_cell_length_c 18.4786
_cell_angle_alpha 90.00
_cell_angle_beta 90.00
_cell_angle_gamma 120.00
loop_
_atom_site_label
_atom_site_type_symbol
_atom_site_fract_x
_atom_site_fract_y
_atom_site_fract_z
Li1 Li 0.0000 0.0000 0.0000
Li2 Li 0.0000 0.5000 0.0000
Np1 Np 0.0000 0.5000 0.5000
U1 U 0.0000 0.0000 0.5000
S1 S 0.0000 0.0000 0.2509
S2 S 0.0025 0.5012 0.2514
# Formation energy (no corrections)   -1.3733 eV/atom
# Energy   -7.05 eV/atom
# N(E_F)   1.883 states/eV per atom

=====

# LiNp4U3S8, optimized geometry, DFT PBE
data_LiNp4U3S8
_symmetry_space_group_name_H-M 'C 1 2/m 1'
_symmetry_Int_Tables_number 12
_cell_length_a 13.409
_cell_length_b 7.716
_cell_length_c 7.743
_cell_angle_alpha 90.00
_cell_angle_beta 125.21
_cell_angle_gamma 90.00
loop_
_symmetry_equiv_pos_as_xyz
'x,y,z'
'-x,-y,-z'
'-x,y,-z'
'x,-y,z'
'x+1/2,y+1/2,z'
'-x+1/2,-y+1/2,-z'
'-x+1/2,y+1/2,-z'
'x+1/2,-y+1/2,z'
loop_
_atom_site_label
_atom_site_type_symbol
_atom_site_fract_x
_atom_site_fract_y
_atom_site_fract_z
Li1 Li 0.000 0.000 0.000
Np1 Np 0.000 0.000 0.500
Np2 Np 0.000 0.500 0.500
Np3 Np 0.250 0.250 0.000
U1 U 0.000 0.500 0.000
U2 U 0.250 0.250 0.500
S1 S 0.002 0.245 0.246
S2 S 0.244 0.000 0.245
S3 S 0.250 0.000 0.749
# Formation energy (no corrections)   -1.3482 eV/atom
# Energy   -8.88 eV/atom
# N(E_F)   2.787 states/eV per atom

=====

# Li3Np2US6, optimized geometry, DFT PBE
data_Li3Np2US6
_symmetry_space_group_name_H-M 'C 1 2/m 1'
_symmetry_Int_Tables_number 12
_cell_length_a 6.764
_cell_length_b 11.715
_cell_length_c 6.572
_cell_angle_alpha 90.00
_cell_angle_beta 110.06
_cell_angle_gamma 90.00
loop_
_symmetry_equiv_pos_as_xyz
'x,y,z'
'-x,-y,-z'
'-x,y,-z'
'x,-y,z'
'x+1/2,y+1/2,z'
'-x+1/2,-y+1/2,-z'
'-x+1/2,y+1/2,-z'
'x+1/2,-y+1/2,z'
loop_
_atom_site_label
_atom_site_type_symbol
_atom_site_fract_x
_atom_site_fract_y
_atom_site_fract_z
Li1 Li 0.000 0.000 0.000
Li2 Li 0.000 0.333 0.000
Np1 Np 0.000 0.167 0.500
U1 U 0.000 0.500 0.500
S1 S 0.246 0.500 0.246
S2 S 0.250 0.165 0.245
# Formation energy (no corrections)   -1.3733 eV/atom
# Energy   -7.01 eV/atom
# N(E_F)   1.790 states/eV per atom

=====

# Li4Np3VS8, optimized geometry, DFT PBE
data_Li4Np3VS8
_symmetry_space_group_name_H-M 'R -3 m'
_symmetry_Int_Tables_number 166
_symmetry_space_group_name_Hall '-R 3 2"'
_cell_length_a 7.6113
_cell_length_b 7.6113
_cell_length_c 18.5262
_cell_angle_alpha 90.00
_cell_angle_beta 90.00
_cell_angle_gamma 120.00
loop_
_atom_site_label
_atom_site_type_symbol
_atom_site_fract_x
_atom_site_fract_y
_atom_site_fract_z
Li1 Li 0.0000 0.0000 0.0000
Li2 Li 0.0000 0.5000 0.0000
Np1 Np 0.0000 0.5000 0.5000
V1 V 0.0000 0.0000 0.5000
S1 S 0.0000 0.0000 0.2529
S2 S 0.0181 0.5090 0.2485
# Formation energy (no corrections)   -1.2916 eV/atom
# Energy   -6.83 eV/atom
# N(E_F)   1.556 states/eV per atom